LiPuB2O6: relaxed, GGA-PBE.

V in Å³ per atom: 9.50
Symmetry: No. 15
Raw formation energy in eV per atom: -2.431
M_tot in Bohr magnetons per cell: 6.00

abc: 6.4552 6.4552 4.7158
angles: 100.44 100.44 88.08
Positions (direct):
Li: 0.0639 0.9361 0.7500
Li: 0.9361 0.0639 0.2500
Pu: 0.2976 0.7024 0.2500
Pu: 0.7024 0.2976 0.7500
B: 0.2026 0.3624 0.7169
B: 0.3624 0.2026 0.2169
B: 0.6376 0.7974 0.7831
B: 0.7974 0.6376 0.2831
O: 0.0225 0.2294 0.6478
O: 0.1497 0.5843 0.8457
O: 0.2294 0.0225 0.1478
O: 0.3000 0.3793 0.4525
O: 0.3793 0.3000 0.9525
O: 0.4157 0.8503 0.6543
O: 0.5843 0.1497 0.3457
O: 0.6207 0.7000 0.0475
O: 0.7000 0.6207 0.5475
O: 0.7706 0.9775 0.8522
O: 0.8503 0.4157 0.1543
O: 0.9775 0.7706 0.3522


HgTe2Br: relaxed, GGA-PBE.

V in Å³ per atom: 36.30
Symmetry: No. 123
Raw formation energy in eV per atom: 0.012
M_tot in Bohr magnetons per cell: 0.00

abc: 4.2387 4.2387 8.0824
angles: 90.00 90.00 90.00
Positions (direct):
Hg: 0.0000 0.0000 0.0000
Te: 0.0000 0.5000 0.5000
Te: 0.5000 0.0000 0.5000
Br: 0.5000 0.5000 0.0000


Please write out number 1 again, unchanged.
LiPuB2O6: relaxed, GGA-PBE.

V in Å³ per atom: 9.50
Symmetry: No. 15
Raw formation energy in eV per atom: -2.431
M_tot in Bohr magnetons per cell: 6.00

abc: 6.4552 6.4552 4.7158
angles: 100.44 100.44 88.08
Positions (direct):
Li: 0.0639 0.9361 0.7500
Li: 0.9361 0.0639 0.2500
Pu: 0.2976 0.7024 0.2500
Pu: 0.7024 0.2976 0.7500
B: 0.2026 0.3624 0.7169
B: 0.3624 0.2026 0.2169
B: 0.6376 0.7974 0.7831
B: 0.7974 0.6376 0.2831
O: 0.0225 0.2294 0.6478
O: 0.1497 0.5843 0.8457
O: 0.2294 0.0225 0.1478
O: 0.3000 0.3793 0.4525
O: 0.3793 0.3000 0.9525
O: 0.4157 0.8503 0.6543
O: 0.5843 0.1497 0.3457
O: 0.6207 0.7000 0.0475
O: 0.7000 0.6207 0.5475
O: 0.7706 0.9775 0.8522
O: 0.8503 0.4157 0.1543
O: 0.9775 0.7706 0.3522


Copy entry 2 word for word.
HgTe2Br: relaxed, GGA-PBE.

V in Å³ per atom: 36.30
Symmetry: No. 123
Raw formation energy in eV per atom: 0.012
M_tot in Bohr magnetons per cell: 0.00

abc: 4.2387 4.2387 8.0824
angles: 90.00 90.00 90.00
Positions (direct):
Hg: 0.0000 0.0000 0.0000
Te: 0.0000 0.5000 0.5000
Te: 0.5000 0.0000 0.5000
Br: 0.5000 0.5000 0.0000


- Among the records above, which one has the lowest raw formation energy?
  LiPuB2O6


- Which of these has the lowest M_tot?
  HgTe2Br